1.
Rb3TmO3 | PBEsol | optimized geometry

Results
ΔE_f (raw) (eV per atom): -1.9735
Space-group type: No. 14
Relative energy among the computed polymorphs (meV per atom): 0
E_tot (eV/cell): -150.15
Crystal system: monoclinic

Lattice parameters (Å, degrees): 7.664 7.243 11.583 90.00 93.69 90.00
Positions (direct):
Rb 0.071 0.124 0.159
Rb 0.071 0.376 0.659
Rb 0.357 0.162 0.922
Rb 0.357 0.338 0.422
Rb 0.378 0.695 0.811
Rb 0.378 0.805 0.311
Rb 0.622 0.195 0.689
Rb 0.622 0.305 0.189
Rb 0.643 0.662 0.578
Rb 0.643 0.838 0.078
Rb 0.929 0.624 0.341
Rb 0.929 0.876 0.841
Tm 0.159 0.590 0.070
Tm 0.159 0.910 0.570
Tm 0.841 0.090 0.430
Tm 0.841 0.410 0.930
O 0.115 0.050 0.408
O 0.115 0.450 0.908
O 0.256 0.645 0.549
O 0.256 0.855 0.049
O 0.301 0.055 0.697
O 0.301 0.445 0.197
O 0.699 0.555 0.803
O 0.699 0.945 0.303
O 0.744 0.145 0.951
O 0.744 0.355 0.451
O 0.885 0.550 0.092
O 0.885 0.950 0.592

2.
TlHgB2 | PBEsol | optimized geometry

Results
Space-group type: No. 225
E_form (eV/atom): 1.689
E_tot (eV/cell): -41.90
Crystal system: cubic

Lattice parameters (Å, degrees): 6.369 6.369 6.369 90.00 90.00 90.00
Positions (direct):
Tl 0.000 0.000 0.000
Tl 0.000 0.500 0.500
Tl 0.500 0.000 0.500
Tl 0.500 0.500 0.000
Hg 0.000 0.000 0.500
Hg 0.000 0.500 0.000
Hg 0.500 0.000 0.000
Hg 0.500 0.500 0.500
B 0.250 0.250 0.250
B 0.250 0.250 0.750
B 0.250 0.750 0.250
B 0.250 0.750 0.750
B 0.750 0.250 0.250
B 0.750 0.250 0.750
B 0.750 0.750 0.250
B 0.750 0.750 0.750

3.
BaRuPb | PBEsol | optimized geometry

Results
Space-group type: No. 187
E_form (eV/atom): 0.248
E_tot (eV/cell): -15.57
Crystal system: hexagonal

Lattice parameters (Å, degrees): 4.583 4.583 4.898 90.00 90.00 120.00
Positions (direct):
Ba 0.000 0.000 0.000
Ru 0.667 0.333 0.500
Pb 0.333 0.667 0.500

4.
CaPt2O4 | PBEsol | optimized geometry

Results
ΔE_f (raw) (eV per atom): -1.2231
Space-group type: No. 131
E_tot (eV/cell): -91.24
Crystal system: tetragonal

Lattice parameters (Å, degrees): 5.671 5.671 5.661 90.00 90.00 90.00
Positions (direct):
Ca 0.000 0.500 0.000
Ca 0.500 0.000 0.500
Pt 0.000 0.243 0.500
Pt 0.000 0.757 0.500
Pt 0.243 0.000 0.000
Pt 0.757 0.000 0.000
O 0.244 0.244 0.250
O 0.244 0.244 0.750
O 0.244 0.756 0.250
O 0.244 0.756 0.750
O 0.756 0.244 0.250
O 0.756 0.244 0.750
O 0.756 0.756 0.250
O 0.756 0.756 0.750